No. 1
A relaxed Zr4Si3W2C3 crystal. Source: the Open Quantum Materials Database, functional GGA-PBE.

Cell lengths 5.613, 5.613, 13.446 Å; angles 102.23, 102.23, 60.16 degrees
Element x y z (fractional)
Zr  0.039  0.196  0.103
Zr  0.127  0.299  0.397
Zr  0.196  0.039  0.603
Zr  0.299  0.127  0.897
Zr  0.701  0.873  0.103
Zr  0.804  0.961  0.397
Zr  0.873  0.701  0.603
Zr  0.961  0.804  0.897
Si  0.150  0.850  0.250
Si  0.318  0.416  0.750
Si  0.416  0.318  0.250
Si  0.584  0.682  0.750
Si  0.682  0.584  0.250
Si  0.850  0.150  0.750
W  0.353  0.528  0.083
W  0.472  0.647  0.417
W  0.528  0.353  0.583
W  0.647  0.472  0.917
C  0.000  0.500  0.000
C  0.174  0.663  0.500
C  0.337  0.826  0.000
C  0.500  0.000  0.500
C  0.663  0.174  0.000
C  0.826  0.337  0.500

As for the total energy: -9.257 eV per atom. The space group is C2/c.

No. 2
A relaxed Y4ZnSiC2 crystal. Source: the Open Quantum Materials Database, functional GGA-PBE.

Cell lengths 3.635, 3.635, 14.555 Å; angles 90.00, 90.00, 120.00 degrees
Element x y z (fractional)
Y  0.000  0.000  0.153
Y  0.000  0.000  0.847
Y  0.333  0.667  0.339
Y  0.333  0.667  0.661
Zn  0.000  0.000  0.500
Si  0.333  0.667  0.000
C  0.667  0.333  0.252
C  0.667  0.333  0.748

As for the total energy: -6.668 eV per atom. The space group is P-6m2.

No. 3
A relaxed ZrSi2C crystal. Source: the Open Quantum Materials Database, functional GGA-PBE.

Cell lengths 2.966, 2.966, 14.264 Å; angles 90.00, 90.00, 120.00 degrees
Element x y z (fractional)
Zr  0.333  0.667  0.250
Zr  0.667  0.333  0.750
Si  0.333  0.667  0.583
Si  0.333  0.667  0.917
Si  0.667  0.333  0.083
Si  0.667  0.333  0.417
C  0.000  0.000  0.000
C  0.000  0.000  0.500

As for the total energy: -6.878 eV per atom. The space group is P6_3/mmc.

No. 4
A relaxed Zr4SiC3 crystal. Source: the Open Quantum Materials Database, functional GGA-PBE.

Cell lengths 3.351, 3.351, 24.263 Å; angles 90.00, 90.00, 120.00 degrees
Element x y z (fractional)
Zr  0.000  0.000  0.164
Zr  0.000  0.000  0.336
Zr  0.000  0.000  0.664
Zr  0.000  0.000  0.836
Zr  0.333  0.667  0.055
Zr  0.333  0.667  0.445
Zr  0.667  0.333  0.555
Zr  0.667  0.333  0.945
Si  0.333  0.667  0.250
Si  0.667  0.333  0.750
C  0.000  0.000  0.000
C  0.000  0.000  0.500
C  0.333  0.667  0.614
C  0.333  0.667  0.886
C  0.667  0.333  0.114
C  0.667  0.333  0.386

As for the total energy: -9.211 eV per atom. The space group is P6_3/mmc.

No. 5
A relaxed Sm2C crystal. Source: the Open Quantum Materials Database, functional GGA-PBE.

Cell lengths 12.519, 3.652, 6.287 Å; angles 90.00, 90.00, 90.00 degrees
Element x y z (fractional)
Sm  0.035  0.250  0.227
Sm  0.215  0.250  0.797
Sm  0.285  0.750  0.297
Sm  0.465  0.750  0.727
Sm  0.535  0.250  0.273
Sm  0.715  0.250  0.703
Sm  0.785  0.750  0.203
Sm  0.965  0.750  0.773
C  0.126  0.750  0.016
C  0.374  0.250  0.516
C  0.626  0.750  0.484
C  0.874  0.250  0.984

As for the total energy: -6.311 eV per atom. The space group is Pnma.

No. 6
A relaxed SmC10 crystal. Source: the Open Quantum Materials Database, functional GGA-PBE.

Cell lengths 9.331, 9.331, 9.331 Å; angles 109.47, 109.47, 109.47 degrees
Element x y z (fractional)
Sm  0.245  0.745  0.500
Sm  0.255  0.500  0.755
Sm  0.500  0.245  0.745
Sm  0.500  0.755  0.255
Sm  0.745  0.500  0.245
Sm  0.755  0.255  0.500
C  0.025  0.174  0.718
C  0.025  0.176  0.418
C  0.025  0.308  0.851
C  0.025  0.607  0.849
C  0.068  0.331  0.399
C  0.068  0.669  0.737
C  0.149  0.456  0.174
C  0.149  0.975  0.692
C  0.151  0.758  0.176
C  0.151  0.975  0.393
C  0.174  0.149  0.456
C  0.174  0.718  0.025
C  0.176  0.151  0.758
C  0.176  0.418  0.025
C  0.242  0.393  0.418
C  0.242  0.824  0.849
C  0.263  0.932  0.331
C  0.282  0.456  0.308
C  0.282  0.975  0.826
C  0.308  0.282  0.456
C  0.308  0.851  0.025
C  0.331  0.263  0.932
C  0.331  0.399  0.068
C  0.393  0.151  0.975
C  0.393  0.418  0.242
C  0.399  0.068  0.331
C  0.418  0.025  0.176
C  0.418  0.242  0.393
C  0.456  0.174  0.149
C  0.456  0.308  0.282
C  0.544  0.692  0.718
C  0.544  0.826  0.851
C  0.582  0.758  0.607
C  0.582  0.975  0.824
C  0.601  0.932  0.669
C  0.607  0.582  0.758
C  0.607  0.849  0.025
C  0.669  0.601  0.932
C  0.669  0.737  0.068
C  0.692  0.149  0.975
C  0.692  0.718  0.544
C  0.718  0.025  0.174
C  0.718  0.544  0.692
C  0.737  0.068  0.669
C  0.758  0.176  0.151
C  0.758  0.607  0.582
C  0.824  0.582  0.975
C  0.824  0.849  0.242
C  0.826  0.282  0.975
C  0.826  0.851  0.544
C  0.849  0.025  0.607
C  0.849  0.242  0.824
C  0.851  0.025  0.308
C  0.851  0.544  0.826
C  0.932  0.331  0.263
C  0.932  0.669  0.601
C  0.975  0.393  0.151
C  0.975  0.692  0.149
C  0.975  0.824  0.582
C  0.975  0.826  0.282

As for the total energy: -8.520 eV per atom. The space group is Im-3.

No. 7
A relaxed Sm2C5 crystal. Source: the Open Quantum Materials Database, functional GGA-PBE.

Cell lengths 7.093, 7.093, 3.441 Å; angles 90.00, 90.00, 147.82 degrees
Element x y z (fractional)
Sm  0.152  0.848  0.000
Sm  0.848  0.152  0.000
C  0.303  0.697  0.500
C  0.402  0.598  0.500
C  0.500  0.500  0.500
C  0.598  0.402  0.500
C  0.697  0.303  0.500

As for the total energy: -7.669 eV per atom. The space group is Cmmm.

No. 8
A relaxed Sm5C crystal. Source: the Open Quantum Materials Database, functional GGA-PBE.

Cell lengths 6.099, 6.099, 6.096 Å; angles 90.00, 90.00, 120.00 degrees
Element x y z (fractional)
Sm  0.000  0.500  0.000
Sm  0.333  0.667  0.500
Sm  0.500  0.000  0.000
Sm  0.500  0.500  0.000
Sm  0.667  0.333  0.500
C  0.000  0.000  0.500

As for the total energy: -3.906 eV per atom. The space group is P6/mmm.

No. 9
A relaxed Sm2C crystal. Source: the Open Quantum Materials Database, functional GGA-PBE.

Cell lengths 3.651, 3.651, 6.794 Å; angles 105.50, 105.50, 59.99 degrees
Element x y z (fractional)
Sm  0.238  0.238  0.215
Sm  0.762  0.762  0.785
C  0.500  0.500  0.000

As for the total energy: -6.384 eV per atom. The space group is C2/m.

No. 10
A relaxed Sm2SnC2 crystal. Source: the Open Quantum Materials Database, functional GGA-PBE.

Cell lengths 7.264, 5.193, 10.246 Å; angles 90.00, 90.00, 90.00 degrees
Element x y z (fractional)
Sm  0.046  0.250  0.221
Sm  0.160  0.250  0.573
Sm  0.340  0.750  0.073
Sm  0.454  0.750  0.721
Sm  0.546  0.250  0.279
Sm  0.660  0.250  0.927
Sm  0.840  0.750  0.427
Sm  0.954  0.750  0.779
Sn  0.219  0.250  0.884
Sn  0.281  0.750  0.384
Sn  0.719  0.250  0.616
Sn  0.781  0.750  0.116
C  0.052  0.750  0.219
C  0.148  0.750  0.583
C  0.352  0.250  0.083
C  0.448  0.250  0.719
C  0.552  0.750  0.281
C  0.648  0.750  0.917
C  0.852  0.250  0.417
C  0.948  0.250  0.781

As for the total energy: -6.326 eV per atom. The space group is Pnma.

No. 11
A relaxed Sm3SnC crystal. Source: the Open Quantum Materials Database, functional GGA-PBE.

Cell lengths 5.025, 5.025, 5.025 Å; angles 90.00, 90.00, 90.00 degrees
Element x y z (fractional)
Sm  0.000  0.000  0.500
Sm  0.000  0.500  0.000
Sm  0.500  0.000  0.000
Sn  0.500  0.500  0.500
C  0.000  0.000  0.000

As for the total energy: -6.011 eV per atom. The space group is Pm-3m.

No. 12
A relaxed Sr3SmC crystal. Source: the Open Quantum Materials Database, functional GGA-PBE.

Cell lengths 5.599, 5.599, 5.599 Å; angles 90.00, 90.00, 90.00 degrees
Element x y z (fractional)
Sr  0.000  0.000  0.500
Sr  0.000  0.500  0.000
Sr  0.500  0.000  0.000
Sm  0.500  0.500  0.500
C  0.000  0.000  0.000

As for the total energy: -3.256 eV per atom. The space group is Pm-3m.

No. 13
A relaxed SmTa3C crystal. Source: the Open Quantum Materials Database, functional GGA-PBE.

Cell lengths 4.472, 4.472, 4.472 Å; angles 90.00, 90.00, 90.00 degrees
Element x y z (fractional)
Sm  0.000  0.000  0.000
Ta  0.000  0.500  0.500
Ta  0.500  0.000  0.500
Ta  0.500  0.500  0.000
C  0.500  0.500  0.500

As for the total energy: -9.760 eV per atom. The space group is Pm-3m.

No. 14
A relaxed Sm2Tc2C3 crystal. Source: the Open Quantum Materials Database, functional GGA-PBE.

Cell lengths 6.188, 6.188, 5.796 Å; angles 114.59, 114.59, 31.80 degrees
Element x y z (fractional)
Sm  0.107  0.107  0.316
Sm  0.893  0.893  0.684
Tc  0.340  0.340  0.181
Tc  0.660  0.660  0.819
C  0.251  0.251  0.775
C  0.500  0.500  0.500
C  0.749  0.749  0.225

As for the total energy: -8.527 eV per atom. The space group is C2/m.

No. 15
A relaxed Sm6Te5C crystal. Source: the Open Quantum Materials Database, functional GGA-PBE.

Cell lengths 7.544, 7.544, 7.456 Å; angles 99.60, 99.60, 119.57 degrees
Element x y z (fractional)
Sm  0.070  0.353  0.713
Sm  0.206  0.206  0.274
Sm  0.353  0.070  0.713
Sm  0.647  0.930  0.287
Sm  0.794  0.794  0.726
Sm  0.930  0.647  0.287
Te  0.180  0.820  0.000
Te  0.336  0.664  0.500
Te  0.500  0.500  0.000
Te  0.664  0.336  0.500
Te  0.820  0.180  0.000
C  0.000  0.000  0.500

As for the total energy: -5.662 eV per atom. The space group is C2/m.

No. 16
A relaxed Sm2ThC2 crystal. Source: the Open Quantum Materials Database, functional GGA-PBE.

Cell lengths 9.964, 9.964, 9.964 Å; angles 21.44, 21.44, 21.44 degrees
Element x y z (fractional)
Sm  0.233  0.233  0.233
Sm  0.767  0.767  0.767
Th  0.000  0.000  0.000
C  0.389  0.389  0.389
C  0.611  0.611  0.611

As for the total energy: -7.277 eV per atom. The space group is R-3m.

No. 17
A relaxed Sm2Y2C3 crystal. Source: the Open Quantum Materials Database, functional GGA-PBE.

Cell lengths 6.740, 6.740, 6.194 Å; angles 112.19, 112.19, 31.88 degrees
Element x y z (fractional)
Sm  0.129  0.129  0.453
Sm  0.871  0.871  0.547
Y  0.363  0.363  0.999
Y  0.637  0.637  0.001
C  0.000  0.000  0.000
C  0.274  0.274  0.282
C  0.726  0.726  0.718

As for the total energy: -7.282 eV per atom. The space group is C2/m.

No. 18
A relaxed SmZn3C3 crystal. Source: the Open Quantum Materials Database, functional GGA-PBE.

Cell lengths 3.544, 3.544, 17.446 Å; angles 90.00, 90.00, 120.00 degrees
Element x y z (fractional)
Sm  0.000  0.000  0.000
Sm  0.000  0.000  0.500
Zn  0.333  0.667  0.133
Zn  0.333  0.667  0.367
Zn  0.333  0.667  0.750
Zn  0.667  0.333  0.250
Zn  0.667  0.333  0.633
Zn  0.667  0.333  0.867
C  0.333  0.667  0.250
C  0.333  0.667  0.587
C  0.333  0.667  0.913
C  0.667  0.333  0.087
C  0.667  0.333  0.413
C  0.667  0.333  0.750

As for the total energy: -4.493 eV per atom. The space group is P6_3/mmc.

No. 19
A relaxed Sm2ZrC2 crystal. Source: the Open Quantum Materials Database, functional GGA-PBE.

Cell lengths 7.067, 5.219, 10.745 Å; angles 90.00, 90.00, 90.00 degrees
Element x y z (fractional)
Sm  0.092  0.250  0.235
Sm  0.143  0.250  0.573
Sm  0.357  0.750  0.073
Sm  0.408  0.750  0.735
Sm  0.592  0.250  0.265
Sm  0.643  0.250  0.927
Sm  0.857  0.750  0.427
Sm  0.908  0.750  0.765
Zr  0.164  0.250  0.891
Zr  0.336  0.750  0.391
Zr  0.664  0.250  0.609
Zr  0.836  0.750  0.109
C  0.109  0.750  0.251
C  0.170  0.750  0.562
C  0.330  0.250  0.062
C  0.391  0.250  0.751
C  0.609  0.750  0.249
C  0.670  0.750  0.938
C  0.830  0.250  0.438
C  0.891  0.250  0.749

As for the total energy: -7.454 eV per atom. The space group is Pnma.

No. 20
A relaxed TaSnC2 crystal. Source: the Open Quantum Materials Database, functional GGA-PBE.

Cell lengths 3.207, 3.207, 4.864 Å; angles 90.00, 90.00, 90.00 degrees
Element x y z (fractional)
Ta  0.000  0.000  0.000
Sn  0.500  0.500  0.500
C  0.000  0.000  0.500
C  0.500  0.500  0.000

As for the total energy: -7.954 eV per atom. The space group is P4/mmm.